# 1
A plane-wave DFT calculation with PBE was carried out for an optimized crystal structure of ZrNbIr3.

Output
Formation energy (eV per atom): 0.91
Distance to the lowest polymorph of the same formula (meV per atom): 0
Calculated density (g/cm³): 11.86

abc: 4.7408 4.7408 4.7408
angles: 90.00 90.00 90.00
Closest atoms and distances in Å follow each position.
Positions (direct):
1 Zr 0.5000 0.5000 0.5000  12 Ir 3.35
2 Nb 0.0000 0.0000 0.0000  6 Ir 2.37
3 Ir 0.0000 0.0000 0.5000  2 Nb 2.37
4 Ir 0.0000 0.5000 0.0000  2 Nb 2.37
5 Ir 0.5000 0.0000 0.0000  2 Nb 2.37

# 2
A plane-wave DFT calculation with PBE was carried out for an optimized crystal structure of Sc2TlAs.

Output
Formation energy (eV per atom): -0.48
Distance to the lowest polymorph of the same formula (meV per atom): 319
Calculated density (g/cm³): 7.16

abc: 5.1963 5.1963 5.1963
angles: 127.51 127.51 77.41
Closest atoms and distances in Å follow each position.
Positions (direct):
1 Tl 0.2500 0.7500 0.5000  8 Sc 3.06, 4 As 3.25
2 Sc 0.5000 0.5000 0.0000  4 As 3.06, 4 Tl 3.06, 4 Sc 3.25
3 Sc 0.0000 0.0000 0.0000  4 As 3.06, 4 Tl 3.06, 4 Sc 3.25
4 As 0.7500 0.2500 0.5000  8 Sc 3.06, 4 Tl 3.25

# 3
A plane-wave DFT calculation with PBE was carried out for an optimized crystal structure of LiScBi2O5.

Output
Uncorrected formation energy (eV per formula unit): -17.3
Calculated density (g/cm³): 7.05

abc: 3.3385 7.9172 10.0185
angles: 90.00 90.00 102.17
Closest atoms and distances in Å follow each position.
Positions (direct):
1 O 0.3134 0.6269 0.3705  2 Sc 2.13, 1 Li 2.30
2 O 0.6553 0.3106 0.5310  1 Sc 2.14, 2 Bi 2.27
3 O 0.5067 0.0135 0.2930  1 Li 1.98, 2 Bi 2.21
4 O 0.7184 0.4367 0.1478  1 Bi 2.18, 2 Sc 2.24
5 O 0.9210 0.8420 0.5596  2 Li 1.95, 1 Sc 2.09, 1 Bi 2.15
6 O 0.6866 0.3731 0.8705  2 Sc 2.13, 1 Li 2.30
7 O 0.3447 0.6894 0.0310  1 Sc 2.14, 2 Bi 2.27
8 O 0.0790 0.1580 0.0596  2 Li 1.95, 1 Sc 2.09, 1 Bi 2.15
9 O 0.4933 0.9865 0.7930  1 Li 1.98, 2 Bi 2.21
10 O 0.2816 0.5633 0.6478  1 Bi 2.18, 2 Sc 2.24
11 Bi 0.8572 0.7145 0.1833  3 O 2.18-2.27
12 Bi 0.0993 0.1987 0.2715  3 O 2.15-2.21
13 Bi 0.9007 0.8013 0.7715  3 O 2.15-2.21
14 Bi 0.1428 0.2855 0.6833  3 O 2.18-2.27
15 Li 0.4480 0.8959 0.4682  3 O 1.95-1.98
16 Li 0.5520 0.1041 0.9682  3 O 1.95-1.98
17 Sc 0.7921 0.5843 0.4989  6 O 2.09-2.24
18 Sc 0.2079 0.4157 0.9989  6 O 2.09-2.24

# 4
A plane-wave DFT calculation with PBE was carried out for an optimized crystal structure of TbPr2Dy7.

Output
Formation energy (eV per atom): 0.02
Distance to the lowest polymorph of the same formula (meV per atom): 0
Calculated density (g/cm³): 8.10

abc: 6.1858 10.7083 11.2914
angles: 137.46 123.07 39.82
Closest atoms and distances in Å follow each position.
Positions (direct):
1 Dy 0.7982 0.7981 0.1974  9 Dy 3.54-3.60, 1 Tb 3.57, 2 Pr 3.58-3.60
2 Dy 0.8995 0.9018 0.6016  1 Tb 3.56, 4 Pr 3.57-3.59, 7 Dy 3.57-3.61
3 Dy 0.2988 0.2986 0.1978  7 Dy 3.54-3.61, 2 Tb 3.56-3.57, 3 Pr 3.57-3.59
4 Dy 0.5000 0.5000 0.0000  8 Dy 3.55-3.58, 2 Pr 3.57, 2 Tb 3.58
5 Dy 0.2018 0.2019 0.8026  9 Dy 3.54-3.60, 1 Tb 3.57, 2 Pr 3.58-3.60
6 Dy 0.7012 0.7014 0.8022  7 Dy 3.54-3.61, 2 Tb 3.56-3.57, 3 Pr 3.57-3.59
7 Dy 0.1005 0.0982 0.3984  1 Tb 3.56, 4 Pr 3.57-3.59, 7 Dy 3.57-3.61
8 Tb 0.0000 0.0000 0.0000  10 Dy 3.56-3.58, 2 Pr 3.58
9 Pr 0.4034 0.3993 0.6009  10 Dy 3.57-3.60, 1 Tb 3.58, 1 Pr 3.61
10 Pr 0.5966 0.6007 0.3991  10 Dy 3.57-3.60, 1 Tb 3.58, 1 Pr 3.61

# 5
A plane-wave DFT calculation with PBE was carried out for an optimized crystal structure of Sr3CaW.

Output
Formation energy (eV per atom): 2.10
Distance to the lowest polymorph of the same formula (meV per atom): 1199
Calculated density (g/cm³): 3.97

abc: 5.8825 5.8825 5.8825
angles: 90.00 90.00 90.00
Closest atoms and distances in Å follow each position.
Positions (direct):
1 Sr 0.0000 0.5000 0.0000  2 Ca 2.94
2 Sr 0.5000 0.0000 0.0000  2 Ca 2.94
3 Sr 0.0000 0.0000 0.5000  2 Ca 2.94
4 W 0.5000 0.5000 0.5000  12 Sr 4.16
5 Ca 0.0000 0.0000 0.0000  6 Sr 2.94

# 6
A plane-wave DFT calculation with PBE was carried out for an optimized crystal structure of LiTlSn2I6.

Output
Uncorrected formation energy (eV per formula unit): -6.4
Calculated density (g/cm³): 4.81

abc: 8.0652 8.0625 8.7673
angles: 62.58 62.58 59.95
Closest atoms and distances in Å follow each position.
Positions (direct):
1 I 0.5841 0.2527 0.2383  2 Sn 3.16-3.27, 1 Li 3.16
2 I 0.3727 0.7251 0.7625  1 Li 2.99, 2 Sn 3.14-3.28
3 I 0.7253 0.1390 0.7630  1 Li 2.99, 2 Sn 3.13-3.29
4 I 0.9248 0.5843 0.2386  2 Sn 3.16-3.26, 1 Li 3.16
5 I 0.2526 0.9244 0.2387  2 Sn 3.15-3.27, 1 Li 3.16
6 I 0.1398 0.3727 0.7627  1 Li 2.99, 2 Sn 3.14-3.28
7 Li 0.3307 0.3307 0.0077  6 I 2.99-3.16
8 Tl 0.8143 0.8146 0.5568  6 I 3.45-3.58
9 Sn 0.0032 0.0034 0.9896  6 I 3.13-3.27
10 Sn 0.5140 0.5145 0.4572  6 I 3.15-3.29

Q: Which value of calculated density does entry 3 give?
A: 7.05 g/cm³

Q: The lowest calculated density belongs to which entry?
A: Sr3CaW